Record 1
# HfBiAs | OQMD | PBE-GGA | relaxed
# * electronic total energy: -6.03 eV/atom
# * magnetic moment: 0.001 μB/atom
data_HfBiAs
_cell_length_a 6.738
_cell_length_b 6.738
_cell_length_c 6.738
_cell_angle_alpha 90.00
_cell_angle_beta 90.00
_cell_angle_gamma 90.00
_symmetry_space_group_name_H-M 'F -4 3 m'
_symmetry_Int_Tables_number 216
_symmetry_space_group_name_Hall 'F -4 2 3'
loop_
_atom_site_label
_atom_site_fract_x
_atom_site_fract_y
_atom_site_fract_z
Hf1 0.000 0.000 0.000
Bi1 0.000 0.000 0.500
As1 0.250 0.250 0.750

***

Record 2
# Y3Mg3AlHg2 | OQMD | PBE-GGA | relaxed
# * electronic total energy: -3.53 eV/atom
# * magnetic moment: 0.003 μB/atom
data_Y3Mg3AlHg2
_cell_length_a 7.7856
_cell_length_b 7.7856
_cell_length_c 4.1821
_cell_angle_alpha 90.00
_cell_angle_beta 90.00
_cell_angle_gamma 120.00
_symmetry_space_group_name_H-M 'P -6 2 m'
_symmetry_Int_Tables_number 189
_symmetry_space_group_name_Hall 'P -6 -2'
loop_
_atom_site_label
_atom_site_fract_x
_atom_site_fract_y
_atom_site_fract_z
Y1 0.0000 0.4093 0.0000
Mg1 0.0000 0.7536 0.5000
Al1 0.0000 0.0000 0.0000
Hg1 0.3333 0.6667 0.5000